The following is a DFT calculation (GGA-PBEsol) of a relaxed Li2AgIr crystal.

Values from the calculation:
The formation enthalpy at 0 K is -4 kJ/mol of formula units.

abc: 2.5495 4.3530 5.2056
angles: 90.00 104.43 90.00
With the nearest neighbours (Å) after each atom.
Fractional coordinates of all 4 atoms:
Li: 0.8030 0.0000 0.9858  1 Ag 2.49, 4 Li 2.55, 4 Ir 2.74-2.75
Ag: 0.5592 0.0000 0.4929  1 Li 2.49, 2 Ag 2.55
Ir: 0.1970 0.5000 0.7716  2 Ir 2.55, 7 Li 2.63-2.75
Li: 0.9409 0.5000 0.2497  4 Li 2.55, 3 Ir 2.63-2.73, 4 Ag 2.80-2.81

The following is a DFT calculation (GGA-PBEsol) of a relaxed ErAlB14 crystal.

Values from the calculation:
The formation enthalpy at 0 K is -320 kJ/mol of formula units.

abc: 5.8831 7.2419 7.2419
angles: 68.86 66.03 66.03
With the nearest neighbours (Å) after each atom.
Fractional coordinates of all 32 atoms:
B: 0.8559 0.5188 0.7694  3 B 1.74-1.79
B: 0.6012 0.7240 0.3992  6 B 1.76-1.92
Al: 0.5000 0.5000 0.0000  8 B 2.10-2.32
B: 0.3322 0.4680 0.3719  6 B 1.74-1.84
B: 0.1678 0.1281 0.0320  6 B 1.74-1.84
B: 0.2756 0.7240 0.3992  6 B 1.76-1.92
B: 0.3279 0.8719 0.9680  6 B 1.74-1.84
B: 0.8322 0.8719 0.9680  6 B 1.74-1.84
Er: 0.2500 0.0994 0.4006  12 B 2.51-2.79
B: 0.7756 0.8992 0.2240  6 B 1.76-1.92
B: 0.1671 0.8669 0.7989  6 B 1.72-1.84
B: 0.1012 0.8992 0.2240  6 B 1.76-1.92
B: 0.3559 0.2694 0.0188  3 B 1.74-1.79
Er: 0.7500 0.9006 0.5994  12 B 2.51-2.79
B: 0.8279 0.4680 0.3719  6 B 1.74-1.84
B: 0.1721 0.5320 0.6281  6 B 1.74-1.84
B: 0.0899 0.7425 0.0777  6 B 1.76-1.84
B: 0.4101 0.4223 0.7575  6 B 1.76-1.84
B: 0.3988 0.2760 0.6008  6 B 1.76-1.92
B: 0.6721 0.1281 0.0320  6 B 1.74-1.84
B: 0.2244 0.1008 0.7760  6 B 1.76-1.92
B: 0.5899 0.5777 0.2425  6 B 1.76-1.84
B: 0.6441 0.7306 0.9812  3 B 1.74-1.79
B: 0.6671 0.2989 0.3669  6 B 1.72-1.84
B: 0.9101 0.2575 0.9223  6 B 1.76-1.84
B: 0.1441 0.4812 0.2306  3 B 1.74-1.79
B: 0.7244 0.2760 0.6008  6 B 1.76-1.92
Al: 0.0000 0.5000 0.0000  8 B 2.10-2.32
B: 0.3329 0.7011 0.6331  6 B 1.72-1.84
B: 0.8329 0.1331 0.2011  6 B 1.72-1.84
B: 0.6678 0.5320 0.6281  6 B 1.74-1.84
B: 0.8988 0.1008 0.7760  6 B 1.76-1.92

The following is a DFT calculation (GGA-PBEsol) of a relaxed MnReP2 crystal.

Values from the calculation:
The formation enthalpy at 0 K is 145 kJ/mol of formula units. Its energy above the lowest structure with this stoichiometry is 276.2 meV per atom.

abc: 4.1774 4.1774 4.1774
angles: 60.00 60.00 60.00
With the nearest neighbours (Å) after each atom.
Fractional coordinates of all 4 atoms:
P: 0.7500 0.7500 0.7500  4 P 2.56, 4 Mn 2.56
Re: 0.2500 0.2500 0.2500  4 Mn 2.56, 4 P 2.56
Mn: 0.5000 0.5000 0.5000  4 P 2.56, 4 Re 2.56
P: 0.0000 0.0000 0.0000  4 Re 2.56, 4 P 2.56

The following is a DFT calculation (GGA-PBEsol) of a relaxed LaPSe2 crystal.

Values from the calculation:
The value obtained for the formation energy (no corrections) is -0.855 eV/atom.

abc: 3.9576 4.6434 4.6434
angles: 93.56 90.00 90.00
With the nearest neighbours (Å) after each atom.
Fractional coordinates of all 4 atoms:
P: 0.5000 0.5000 0.5000  8 Se 3.05, 4 La 3.18-3.38
La: 0.5000 0.0000 0.0000  8 Se 3.05, 4 P 3.18-3.38
Se: 0.0000 0.0000 0.5000  4 La 3.05, 4 P 3.05, 4 Se 3.18-3.38
Se: 0.0000 0.5000 0.0000  4 P 3.05, 4 La 3.05, 4 Se 3.18-3.38

The following is a DFT calculation (GGA-PBEsol) of a relaxed Al2TlCr crystal.

Values from the calculation:
The formation enthalpy at 0 K is 147 kJ/mol of formula units. Its energy above the lowest structure with this stoichiometry is 84.4 meV per atom.

abc: 3.1282 4.9002 4.9002
angles: 110.78 90.00 90.00
With the nearest neighbours (Å) after each atom.
Fractional coordinates of all 4 atoms:
Cr: 0.5000 0.0000 0.0000  2 Tl 2.78, 8 Al 2.91
Al: 0.0000 0.0000 0.5000  2 Al 2.78, 4 Cr 2.91, 4 Tl 2.91
Al: 0.0000 0.5000 0.0000  2 Al 2.78, 4 Tl 2.91, 4 Cr 2.91
Tl: 0.5000 0.5000 0.5000  2 Cr 2.78, 8 Al 2.91

The following is a DFT calculation (GGA-PBEsol) of a relaxed TePAuO2 crystal.

Values from the calculation:
The value obtained for the formation energy (no corrections) is -0.109 eV/atom. Its energy above the lowest structure with this stoichiometry is 0.0 meV per atom.

abc: 3.8361 3.8361 5.3814
angles: 90.00 90.00 90.00
With the nearest neighbours (Å) after each atom.
Fractional coordinates of all 5 atoms:
Te: 0.0000 0.0000 0.0000  4 O 1.92
O: 0.5000 0.0000 0.0000  2 Te 1.92
P: 0.0000 0.0000 0.5000  2 Te 2.69, 4 Au 2.71
Au: 0.5000 0.5000 0.5000  4 P 2.71
O: 0.0000 0.5000 0.0000  2 Te 1.92

Size of the total moment values (in μB/f.u.) by entry order: 0.0 0.0 2.7 0.0 3.1 0.0.